No. 1
## PmPrPb2 (PBE-GGA)

Data for an optimized crystal structure of PmPrPb2.

Properties
M_tot	0.00	μB/atom
DFT total energy	-19.2	eV per cell

Unit cell a=4.6776 b=4.5433 c=6.4355 alpha=90.00 beta=111.25 gamma=90.00
Last column: nearest neighbours and their distance in Å.
Space group Pm (No. 6)
Inequivalent atoms, fractional coordinates:
Pm 0.0000 0.0000 0.0000 x1  7 Pb 3.26-3.60
Pr 0.2630 0.5000 0.5293 x1  7 Pb 3.25-3.61
Pb 0.5358 0.5000 0.0714 x1  2 Pb 3.24, 3 Pr 3.25-3.61, 4 Pm 3.29
Pb 0.7264 0.0000 0.4563 x1  2 Pb 3.24, 3 Pm 3.26-3.60, 4 Pr 3.29

No. 2
## CsMg14Mo (PBE-GGA)

Data for an optimized crystal structure of CsMg14Mo.

Properties
M_tot	0.08	μB/atom
DFT total energy	-29.6	eV per cell
offset from the most stable computed form	0	kJ/mol of formula units

Unit cell a=6.4979 b=6.4979 c=10.5858 alpha=90.00 beta=90.00 gamma=120.00
Last column: nearest neighbours and their distance in Å.
Space group P-6m2 (No. 187)
Inequivalent atoms, fractional coordinates:
Cs 0.0000 0.0000 0.0000 x1  12 Mg 3.25-3.50
Mg 0.0106 0.5053 0.0000 x3  10 Mg 3.15-3.51, 2 Cs 3.25
Mg 0.1648 0.3296 0.2809 x6  1 Mo 2.97, 8 Mg 3.01-3.29
Mg 0.5056 0.0113 0.5000 x3  10 Mg 3.01-3.36, 2 Mo 3.25
Mg 0.6667 0.3333 0.2379 x2  12 Mg 3.18-3.31
Mo 0.0000 0.0000 0.5000 x1  12 Mg 2.97-3.25

No. 3
## YCrOs (PBE-GGA)

Data for an optimized crystal structure of YCrOs.

Properties
M_tot	0.12	μB/atom
DFT total energy	-25.4	eV per cell
offset from the most stable computed form	159	kJ/mol of formula units

Unit cell a=2.9836 b=2.9836 c=6.8008 alpha=90.00 beta=90.00 gamma=120.00
Last column: nearest neighbours and their distance in Å.
Space group P3m1 (No. 156)
Inequivalent atoms, fractional coordinates:
Y 0.0000 0.0000 0.0000 x1  6 Y 2.98, 3 Cr 2.99, 3 Os 3.09
Cr 0.6667 0.3333 0.3598 x1  3 Os 2.48
Os 0.3333 0.6667 0.6229 x1  3 Cr 2.48

No. 4
## Li2Pr2Sb2N (PBE-GGA)

Data for an optimized crystal structure of Li2Pr2Sb2N.

Properties
M_tot	0.00	μB/atom
DFT total energy	-71.8	eV per cell
ΔE_f (raw)	-0.852	eV/atom

Unit cell a=4.5803 b=4.5803 c=15.6900 alpha=90.00 beta=90.00 gamma=90.00
Last column: nearest neighbours and their distance in Å.
Space group I4/mmm (No. 139)
Inequivalent atoms, fractional coordinates:
Li 0.0000 0.5000 0.0000 x4  2 N 2.29
Pr 0.0000 0.0000 0.1464 x4  1 N 2.30
Sb 0.0000 0.0000 0.3653 x4  4 Li 3.12, 5 Pr 3.24-3.43
N 0.0000 0.0000 0.0000 x2  4 Li 2.29, 2 Pr 2.30